No. 1
Compound: TeRhPb2
Source: Alexandria
Functional: GGA-PBE
Structure: relaxed

Lattice parameters (Å, degrees): 4.0982 4.0982 22.0750 90.00 90.00 120.00
Positions (direct):
Te (0.0000, 0.0000, 0.0000)
Te (0.3333, 0.6667, 0.6667)
Te (0.6667, 0.3333, 0.3333)
Rh (0.0000, 0.0000, 0.5000)
Rh (0.3333, 0.6667, 0.1667)
Rh (0.6667, 0.3333, 0.8333)
Pb (0.0000, 0.0000, 0.2349)
Pb (0.0000, 0.0000, 0.7651)
Pb (0.3333, 0.6667, 0.4317)
Pb (0.3333, 0.6667, 0.9016)
Pb (0.6667, 0.3333, 0.0984)
Pb (0.6667, 0.3333, 0.5683)

Output
For the mass density, the calculation gives 10.0 g/cm3. The crystal system is trigonal. As for the formation energy from raw total energies: 0.0395 eV per atom. Its symmetry is R-3m (166). As for the total magnetization: 0.00 μB per formula unit. Its electronic total energy is -53.3 eV for the cell shown.

=====

No. 2
Compound: Tb3PmTl3
Source: Alexandria
Functional: GGA-PBE
Structure: relaxed

Lattice parameters (Å, degrees): 9.4207 9.4207 9.4207 90.00 90.00 90.00
Positions (direct):
Tb (0.0769, 0.4231, 0.5769)
Tb (0.1781, 0.1781, 0.1781)
Tb (0.1779, 0.8221, 0.3221)
Tb (0.3221, 0.1779, 0.8221)
Tb (0.3219, 0.8219, 0.6781)
Tb (0.4231, 0.5769, 0.0769)
Tb (0.5769, 0.0769, 0.4231)
Tb (0.6781, 0.3219, 0.8219)
Tb (0.6779, 0.6779, 0.6779)
Tb (0.8221, 0.3221, 0.1779)
Tb (0.8219, 0.6781, 0.3219)
Tb (0.9231, 0.9231, 0.9231)
Pm (0.0726, 0.5726, 0.9274)
Pm (0.4274, 0.4274, 0.4274)
Pm (0.5726, 0.9274, 0.0726)
Pm (0.9274, 0.0726, 0.5726)
Tl (0.9997, 0.2460, 0.8803)
Tl (0.0003, 0.7460, 0.6197)
Tl (0.1197, 0.4997, 0.2540)
Tl (0.2460, 0.8803, 0.9997)
Tl (0.2540, 0.1197, 0.4997)
Tl (0.3803, 0.5003, 0.7540)
Tl (0.4997, 0.2540, 0.1197)
Tl (0.5003, 0.7540, 0.3803)
Tl (0.6197, 0.0003, 0.7460)
Tl (0.7460, 0.6197, 0.0003)
Tl (0.7540, 0.3803, 0.5003)
Tl (0.8803, 0.9997, 0.2460)

Output
Its excess energy over the best structure of this formula in the dataset is 0.0 meV per atom. For the mass density, the calculation gives 9.8 g/cm3. The crystal system is cubic. Its symmetry is P2_13 (198). As for the total magnetization: 0.00 μB per formula unit. The formation energy from the elements comes out at -178 kJ/mol of formula units. Its electronic total energy is -110.4 eV for the cell shown.

=====

No. 3
Compound: LiTbThHg
Source: Alexandria
Functional: GGA-PBE
Structure: relaxed

Lattice parameters (Å, degrees): 7.4990 7.4990 7.4990 90.00 90.00 90.00
Positions (direct):
Li (0.0000, 0.0000, 0.0000)
Li (0.0000, 0.5000, 0.5000)
Li (0.5000, 0.0000, 0.5000)
Li (0.5000, 0.5000, 0.0000)
Tb (0.2500, 0.2500, 0.2500)
Tb (0.2500, 0.7500, 0.7500)
Tb (0.7500, 0.2500, 0.7500)
Tb (0.7500, 0.7500, 0.2500)
Th (0.2500, 0.2500, 0.7500)
Th (0.2500, 0.7500, 0.2500)
Th (0.7500, 0.2500, 0.2500)
Th (0.7500, 0.7500, 0.7500)
Hg (0.0000, 0.0000, 0.5000)
Hg (0.0000, 0.5000, 0.0000)
Hg (0.5000, 0.0000, 0.0000)
Hg (0.5000, 0.5000, 0.5000)

Output
For the mass density, the calculation gives 9.4 g/cm3. The crystal system is cubic. Its symmetry is F-43m (216). As for the total magnetization: 0.03 μB per formula unit. The formation energy from the elements comes out at -23 kJ/mol of formula units. Its electronic total energy is -58.0 eV for the cell shown.

=====

No. 4
Compound: ZrCoSnRh
Source: Alexandria
Functional: GGA-PBE
Structure: relaxed

Lattice parameters (Å, degrees): 6.4394 6.4394 6.4394 90.00 90.00 90.00
Positions (direct):
Zr (0.0000, 0.0000, 0.0000)
Zr (0.0000, 0.5000, 0.5000)
Zr (0.5000, 0.0000, 0.5000)
Zr (0.5000, 0.5000, 0.0000)
Co (0.2500, 0.2500, 0.2500)
Co (0.2500, 0.7500, 0.7500)
Co (0.7500, 0.2500, 0.7500)
Co (0.7500, 0.7500, 0.2500)
Sn (0.0000, 0.0000, 0.5000)
Sn (0.0000, 0.5000, 0.0000)
Sn (0.5000, 0.0000, 0.0000)
Sn (0.5000, 0.5000, 0.5000)
Rh (0.2500, 0.2500, 0.7500)
Rh (0.2500, 0.7500, 0.2500)
Rh (0.7500, 0.2500, 0.2500)
Rh (0.7500, 0.7500, 0.7500)

Output
For the mass density, the calculation gives 9.2 g/cm3. The crystal system is cubic. Its symmetry is F-43m (216). As for the total magnetization: 1.84 μB per formula unit. The formation energy from the elements comes out at -209 kJ/mol of formula units. Its electronic total energy is -116.7 eV for the cell shown.

=====

No. 5
Compound: Na3Ce2TmS6
Source: Alexandria
Functional: GGA-PBE
Structure: relaxed

Lattice parameters (Å, degrees): 7.0568 7.0568 7.0642 99.60 99.60 120.01
Positions (direct):
Na (0.0000, 0.0000, 0.0000)
Na (0.3339, 0.6661, 0.0000)
Na (0.6661, 0.3339, 0.0000)
Ce (0.1667, 0.8333, 0.5000)
Ce (0.8333, 0.1667, 0.5000)
Tm (0.5000, 0.5000, 0.5000)
S (0.1010, 0.4232, 0.2698)
S (0.2540, 0.2540, 0.7284)
S (0.4232, 0.1010, 0.2698)
S (0.5768, 0.8990, 0.7302)
S (0.7460, 0.7460, 0.2716)
S (0.8990, 0.5768, 0.7302)

Output
For the mass density, the calculation gives 4.1 g/cm3. The crystal system is monoclinic. As for the formation energy from raw total energies: -1.7657 eV per atom. Its symmetry is C2/m (12). As for the total magnetization: 2.01 μB per formula unit. Its electronic total energy is -66.2 eV for the cell shown.

=====

No. 6
Compound: Pd2Pt2Pb
Source: Alexandria
Functional: GGA-PBE
Structure: relaxed

Lattice parameters (Å, degrees): 3.8203 3.8203 13.0756 90.00 90.00 90.00
Positions (direct):
Pd (0.0000, 0.5000, 0.2500)
Pd (0.0000, 0.5000, 0.7500)
Pd (0.5000, 0.0000, 0.2500)
Pd (0.5000, 0.0000, 0.7500)
Pt (0.0000, 0.0000, 0.1019)
Pt (0.0000, 0.0000, 0.8981)
Pt (0.5000, 0.5000, 0.3981)
Pt (0.5000, 0.5000, 0.6019)
Pb (0.0000, 0.0000, 0.5000)
Pb (0.5000, 0.5000, 0.0000)

Output
Its excess energy over the best structure of this formula in the dataset is 117.3 meV per atom. For the mass density, the calculation gives 14.1 g/cm3. The crystal system is tetragonal. Its symmetry is I4/mmm (139). As for the total magnetization: 0.00 μB per formula unit. The formation energy from the elements comes out at 62 kJ/mol of formula units. Its electronic total energy is -51.1 eV for the cell shown.

=====

Question: What is the electronic total energy in the third record?
Answer: -58.0 eV for the cell shown

=====

Question: Among the records above, which one has the lowest electronic total energy?
Answer: ZrCoSnRh

=====

Question: Which value of electronic total energy does entry 5 give?
Answer: -66.2 eV for the cell shown